(1)
# YSbTe2N meta-GGA SCAN single point on PBEsol structure
data_YSbTe2N
_chemical_formula_sum 'Y1 Sb1 Te2 N1'
_symmetry_space_group_name_H-M 'P 1'
_symmetry_Int_Tables_number 1
_cell_length_a 3.9758
_cell_length_b 5.7065
_cell_length_c 5.7065
_cell_angle_alpha 90.00
_cell_angle_beta 90.00
_cell_angle_gamma 90.00
loop_
_symmetry_equiv_pos_as_xyz
'x,y,z'
loop_
_atom_site_label
_atom_site_type_symbol
_atom_site_fract_x
_atom_site_fract_y
_atom_site_fract_z
Y1 Y 0.5000 0.5000 0.5000
Sb1 Sb 0.0000 0.0000 0.0000
Te1 Te 0.0000 0.0000 0.5000
Te2 Te 0.0000 0.5000 0.0000
N1 N 0.5000 0.0000 0.0000
# E_tot, eV per atom: -29.61
# Symmetry: P4/mmm (123)
# Fermi-level density of states, states/eV per cell: 2.3

***

(2)
# ZrTiCu2B meta-GGA SCAN single point on PBEsol structure
data_ZrTiCu2B
_chemical_formula_sum 'Zr1 Ti1 Cu2 B1'
_symmetry_space_group_name_H-M 'P 1'
_symmetry_Int_Tables_number 1
_cell_length_a 3.9541
_cell_length_b 3.9541
_cell_length_c 4.3207
_cell_angle_alpha 90.00
_cell_angle_beta 90.00
_cell_angle_gamma 90.00
loop_
_symmetry_equiv_pos_as_xyz
'x,y,z'
loop_
_atom_site_label
_atom_site_type_symbol
_atom_site_fract_x
_atom_site_fract_y
_atom_site_fract_z
B1 B 0.0000 0.0000 0.0000
Cu1 Cu 0.0000 0.5000 0.0000
Cu2 Cu 0.5000 0.0000 0.0000
Zr1 Zr 0.5000 0.5000 0.5000
Ti1 Ti 0.0000 0.0000 0.5000
# Formation energy from the elements, meV per atom: -62
# Symmetry: P4/mmm (123)
# Fermi-level density of states, states/eV per cell: 2.1

***

(3)
# HfN meta-GGA SCAN single point on PBEsol structure
data_HfN
_chemical_formula_sum 'Hf1 N1'
_symmetry_space_group_name_H-M 'P 1'
_symmetry_Int_Tables_number 1
_cell_length_a 3.4369
_cell_length_b 3.4369
_cell_length_c 3.4369
_cell_angle_alpha 60.00
_cell_angle_beta 60.00
_cell_angle_gamma 60.00
loop_
_symmetry_equiv_pos_as_xyz
'x,y,z'
loop_
_atom_site_label
_atom_site_type_symbol
_atom_site_fract_x
_atom_site_fract_y
_atom_site_fract_z
Hf1 Hf 0.0000 0.0000 0.0000
N1 N 0.7500 0.7500 0.7500
# E_tot, eV per atom: -37.67
# Symmetry: F-43m (216)
# Fermi-level density of states, states/eV per cell: 0.6

***

(4)
# Be2Ru meta-GGA SCAN single point on PBEsol structure
data_Be2Ru
_chemical_formula_sum 'Be4 Ru2'
_symmetry_space_group_name_H-M 'P 1'
_symmetry_Int_Tables_number 1
_cell_length_a 4.2916
_cell_length_b 4.2916
_cell_length_c 4.2916
_cell_angle_alpha 60.00
_cell_angle_beta 60.00
_cell_angle_gamma 60.00
loop_
_symmetry_equiv_pos_as_xyz
'x,y,z'
loop_
_atom_site_label
_atom_site_type_symbol
_atom_site_fract_x
_atom_site_fract_y
_atom_site_fract_z
Ru1 Ru 0.5000 0.5000 0.5000
Ru2 Ru 0.7500 0.7500 0.7500
Be1 Be 0.1250 0.1250 0.1250
Be2 Be 0.1250 0.1250 0.6250
Be3 Be 0.1250 0.6250 0.1250
Be4 Be 0.6250 0.1250 0.1250
# ΔE to the lowest computed polymorph, kJ per mole of atoms: 3.00
# Formation energy from the elements, meV per atom: -409
# Symmetry: Fd-3m (227)
# Fermi-level density of states, states/eV per cell: 3.5